# Ti2AlC (PBE, relaxed)
# energy = -7.89 eV per atom
# E_form = -0.701 eV per atom
data_Ti2AlC
_space_group_name_H-M_alt 'P 63/m m c'
_space_group_IT_number 194
_space_group_name_Hall '-P 6c 2c'
_cell_length_a 3.0677
_cell_length_b 3.0677
_cell_length_c 13.7497
_cell_angle_alpha 90.00
_cell_angle_beta 90.00
_cell_angle_gamma 120.00
loop_
_atom_site_label
_atom_site_fract_x
_atom_site_fract_y
_atom_site_fract_z
Ti1 0.3333 0.6667 0.0834
Al1 0.3333 0.6667 0.7500
C1 0.0000 0.0000 0.0000